Entry 1:
VASP calculation (GGA-PBE) on a relaxed structure of TbY4Ho. Values from VASP.

Values from the calculation:
As for the relative energy among the computed polymorphs: 0.000 eV/f.u. Its magnetization is 0.0 μB per formula unit. The formation energy is 0.150 eV per atom. The calculation puts the total energy at -68.32 eV for the cell shown. Its space-group type is C2/c.

Geometry as Quantum ESPRESSO input:
```
&SYSTEM
  ibrav = 0, nat = 12, ntyp = 3
/
ATOMIC_SPECIES
Tb 158.93 Tb.upf
Y 88.91 Y.upf
Ho 164.93 Ho.upf
CELL_PARAMETERS angstrom
6.413 -0.631 0.000
-2.483 8.611 0.000
-1.965 -3.990 7.344
ATOMIC_POSITIONS angstrom
Tb 0.362 4.148 1.297
Tb 1.603 -0.158 6.047
Y -1.590 -1.541 5.536
Y 1.848 3.221 4.469
Y -1.617 1.857 5.536
Y -1.125 5.074 4.469
Y 3.090 -1.085 2.875
Y 3.582 2.133 1.808
Y 0.117 0.769 2.875
Y 3.555 5.531 1.808
Ho 1.603 -0.158 0.019
Ho 0.362 4.148 7.325
```

Entry 2:
VASP calculation (GGA-PBE) on a relaxed structure of Na15MgTl4. Values from VASP.

Values from the calculation:
Its magnetization is 0.0 μB per formula unit. The formation energy is -0.039 eV per atom. The calculation puts the total energy at -31.62 eV for the cell shown. Its space-group type is P4/mmm.

Geometry as Quantum ESPRESSO input:
```
&SYSTEM
  ibrav = 0, nat = 20, ntyp = 3
/
ATOMIC_SPECIES
Na 22.99 Na.upf
Mg 24.30 Mg.upf
Tl 204.38 Tl.upf
CELL_PARAMETERS angstrom
4.860 0.000 0.000
0.000 4.860 0.000
0.000 0.000 26.345
ATOMIC_POSITIONS angstrom
Na 2.430 2.430 0.000
Na 2.430 2.430 5.303
Na 2.430 2.430 10.559
Na 2.430 2.430 15.787
Na 2.430 2.430 21.042
Na 2.430 0.000 2.681
Na 2.430 0.000 7.932
Na 2.430 0.000 13.173
Na 2.430 0.000 18.413
Na 2.430 0.000 23.664
Na 0.000 2.430 2.681
Na 0.000 2.430 7.932
Na 0.000 2.430 13.173
Na 0.000 2.430 18.413
Na 0.000 2.430 23.664
Mg 0.000 0.000 0.000
Tl 0.000 0.000 5.310
Tl 0.000 0.000 10.555
Tl 0.000 0.000 15.790
Tl 0.000 0.000 21.035
```

Entry 3:
VASP calculation (GGA-PBE) on a relaxed structure of In4CoP. Values from VASP.

Values from the calculation:
Its magnetization is 1.9 μB per formula unit. The formation energy is 0.830 eV per atom. The calculation puts the total energy at -18.49 eV for the cell shown. Its space-group type is F-43m.

Geometry as Quantum ESPRESSO input:
```
&SYSTEM
  ibrav = 0, nat = 6, ntyp = 3
/
ATOMIC_SPECIES
In 114.82 In.upf
Co 58.93 Co.upf
P 30.97 P.upf
CELL_PARAMETERS angstrom
0.000 4.167 4.167
4.167 0.000 4.167
4.167 4.167 0.000
ATOMIC_POSITIONS angstrom
In 5.209 3.124 5.209
In 3.124 5.209 5.209
In 5.209 5.209 3.124
In 3.124 3.124 3.124
Co 0.000 0.000 0.000
P 6.250 6.250 6.250
```

Entry 4:
VASP calculation (GGA-PBE) on a relaxed structure of Li2CaTe2. Values from VASP.

Values from the calculation:
As for the relative energy among the computed polymorphs: 0.930 eV/f.u. As for the raw formation energy: -21.63 kcal/mol of atoms. Its magnetization is 0.0 μB per formula unit. The calculation puts the total energy at -33.61 eV for the cell shown. Its space-group type is P4/mbm.

Geometry as Quantum ESPRESSO input:
```
&SYSTEM
  ibrav = 0, nat = 10, ntyp = 3
/
ATOMIC_SPECIES
Ca 40.08 Ca.upf
Te 127.60 Te.upf
Li 6.94 Li.upf
CELL_PARAMETERS angstrom
7.935 0.000 0.000
0.000 7.935 0.000
0.000 0.000 3.839
ATOMIC_POSITIONS angstrom
Ca 0.000 0.000 0.000
Ca 3.967 3.967 0.000
Te 1.480 5.448 1.919
Te 5.448 6.454 1.919
Te 6.454 2.487 1.919
Te 2.487 1.480 1.919
Li 3.047 7.015 0.000
Li 7.015 4.887 0.000
Li 4.887 0.920 0.000
Li 0.920 3.047 0.000
```

Entry 5:
VASP calculation (GGA-PBE) on a relaxed structure of V7ReW3. Values from VASP.

Values from the calculation:
Its magnetization is 0.0 μB per formula unit. The formation energy is 0.420 eV per atom. The calculation puts the total energy at -221.03 eV for the cell shown. Its space-group type is Cmcm.

Geometry as Quantum ESPRESSO input:
```
&SYSTEM
  ibrav = 0, nat = 22, ntyp = 3
/
ATOMIC_SPECIES
V 50.94 V.upf
Re 186.21 Re.upf
W 183.84 W.upf
CELL_PARAMETERS angstrom
-2.199 -1.443 -0.243
1.936 -2.038 8.959
-7.370 10.560 3.995
ATOMIC_POSITIONS angstrom
V -4.913 5.892 9.491
V -2.720 1.187 3.221
V -2.209 1.607 10.476
V -5.424 5.472 2.236
V -7.828 8.917 3.540
V 0.195 -1.838 9.172
V -1.939 1.589 8.125
V -5.694 5.490 4.587
V -2.650 3.001 6.179
V -4.983 4.078 6.533
V -7.452 7.617 7.872
V -0.181 -0.538 4.840
V -0.473 -0.512 7.330
V -7.161 7.590 5.382
Re -1.837 2.623 1.052
Re -5.796 4.455 11.660
W -3.199 4.202 4.006
W -4.434 2.877 8.706
W -5.141 6.644 7.084
W -2.492 0.435 5.628
W -0.077 -0.271 2.313
W -7.556 7.350 10.399
```

Entry 6:
VASP calculation (GGA-PBE) on a relaxed structure of Y2TiGeN. Values from VASP.

Values from the calculation:
As for the raw formation energy: -22.48 kcal/mol of atoms. Its magnetization is 1.2 μB per formula unit. The calculation puts the total energy at -38.64 eV for the cell shown. Its space-group type is P4/mmm.

Geometry as Quantum ESPRESSO input:
```
&SYSTEM
  ibrav = 0, nat = 5, ntyp = 4
/
ATOMIC_SPECIES
Y 88.91 Y.upf
Ge 72.64 Ge.upf
N 14.01 N.upf
Ti 47.87 Ti.upf
CELL_PARAMETERS angstrom
4.829 0.000 0.000
0.000 4.829 0.000
0.000 0.000 4.059
ATOMIC_POSITIONS angstrom
Y 0.000 2.414 0.000
Y 2.414 0.000 0.000
Ge 2.414 2.414 2.029
N 0.000 0.000 0.000
Ti 0.000 0.000 2.029
```